A plane-wave DFT calculation with PBEsol was carried out for crystalline ScTa2Mn at its relaxed geometry.

Unit cell a=3.0753 b=3.0753 c=7.0516 alpha=90.00 beta=90.00 gamma=90.00
Atoms (fractional coordinates):
Mn 0.0000 0.0000 0.4739
Sc 0.5000 0.5000 0.7192
Ta 0.0000 0.0000 0.0193
Ta 0.5000 0.5000 0.2876

Calculated values
The crystal system is tetragonal. The density of states at the Fermi level comes out at 4.1 states/eV/f.u. The calculation puts the distance to the lowest polymorph of the same formula at 0 meV/atom.

A plane-wave DFT calculation with PBEsol was carried out for crystalline ScTaMn2 at its relaxed geometry.

Unit cell a=2.9719 b=2.9719 c=7.9954 alpha=79.29 beta=79.29 gamma=60.00
Atoms (fractional coordinates):
Mn 0.2547 0.2547 0.2359
Mn 0.7453 0.7453 0.7641
Sc 0.5000 0.5000 0.5000
Ta 0.0000 0.0000 0.0000

Calculated values
The crystal system is trigonal. The density of states at the Fermi level comes out at 5.4 states/eV/f.u. The calculated total energy is -9.30 eV per atom.

A plane-wave DFT calculation with PBEsol was carried out for crystalline ScTa2Mn at its relaxed geometry.

Unit cell a=2.9696 b=4.2211 c=5.4288 alpha=90.00 beta=103.25 gamma=90.00
Atoms (fractional coordinates):
Mn 0.5000 0.5000 0.0000
Sc 0.0000 0.5000 0.5000
Ta 0.7019 0.0000 0.7752
Ta 0.2981 0.0000 0.2248

Calculated values
The crystal system is monoclinic. The density of states at the Fermi level comes out at 3.8 states/eV/f.u. The calculation puts the distance to the lowest polymorph of the same formula at 119 meV/atom.

A plane-wave DFT calculation with PBEsol was carried out for crystalline ScTa2Mn at its relaxed geometry.

Unit cell a=3.9205 b=3.9205 c=4.4926 alpha=90.00 beta=90.00 gamma=90.00
Atoms (fractional coordinates):
Mn 0.5000 0.5000 0.5000
Sc 0.0000 0.0000 0.5000
Ta 0.0000 0.5000 0.0000
Ta 0.5000 0.0000 0.0000

Calculated values
The crystal system is tetragonal. The density of states at the Fermi level comes out at 5.8 states/eV/f.u. The calculation puts the distance to the lowest polymorph of the same formula at 258 meV/atom.

A plane-wave DFT calculation with PBEsol was carried out for crystalline ScTaMn2 at its relaxed geometry.

Unit cell a=2.7805 b=2.7805 c=7.6395 alpha=90.00 beta=90.00 gamma=90.00
Atoms (fractional coordinates):
Mn 0.0000 0.0000 0.0450
Mn 0.5000 0.5000 0.2002
Sc 0.0000 0.0000 0.4564
Ta 0.5000 0.5000 0.7984

Calculated values
The crystal system is tetragonal. The density of states at the Fermi level comes out at 3.5 states/eV/f.u. The calculated total energy is -9.57 eV per atom.

A plane-wave DFT calculation with PBEsol was carried out for crystalline ScTa2Mn at its relaxed geometry.

Unit cell a=4.5168 b=4.5168 c=4.5168 alpha=60.00 beta=60.00 gamma=60.00
Atoms (fractional coordinates):
Mn 0.5000 0.5000 0.5000
Sc 0.7500 0.7500 0.7500
Ta 0.0000 0.0000 0.0000
Ta 0.2500 0.2500 0.2500

Calculated values
The crystal system is cubic. The density of states at the Fermi level comes out at 6.4 states/eV/f.u. The calculation puts the distance to the lowest polymorph of the same formula at 194 meV/atom.

- Number 5 is which compound?
  ScTaMn2